[1]
DFT (PBE) results for a relaxed CaPr2In3 crystal.

Output
Theoretical density = 6.29 g cm⁻³
Energy of formation from the pure elements = -0.478 eV/atom

a b c (Å): 3.8151 3.8151 12.0908
angles (deg): 90.00 90.00 90.00
With the nearest neighbours (Å) after each atom.
Element x y z (fractional)
Pr 0.5000 0.5000 0.8285  8 In 3.39-3.40
Pr 0.5000 0.5000 0.1715  8 In 3.39-3.40
In 0.0000 0.0000 0.0000  8 Pr 3.40
In 0.0000 0.0000 0.3419  4 Ca 3.31, 4 Pr 3.39
In 0.0000 0.0000 0.6581  4 Ca 3.31, 4 Pr 3.39
Ca 0.5000 0.5000 0.5000  8 In 3.31

***

[2]
DFT (PBE) results for a relaxed Tb2AlRh crystal.

Output
Theoretical density = 7.86 g cm⁻³
Energy of formation from the pure elements = 0.064 eV/atom
Energy above the lowest structure with this stoichiometry = 265 kJ/mol of formula units

a b c (Å): 3.3166 3.3166 10.1066
angles (deg): 80.56 80.56 60.00
With the nearest neighbours (Å) after each atom.
Element x y z (fractional)
Rh 0.0000 0.0000 0.0000  2 Tb 2.55
Tb 0.0857 0.0857 0.7429  1 Rh 2.55
Tb 0.9143 0.9143 0.2571  1 Rh 2.55
Al 0.5000 0.5000 0.5000  6 Tb 3.08, 6 Al 3.32

***

[3]
DFT (PBE) results for a relaxed Nd2HgPd3Au12 crystal.

Output
Theoretical density = 14.50 g cm⁻³
Energy of formation from the pure elements = -0.234 eV/atom

a b c (Å): 7.1892 7.1892 7.1892
angles (deg): 82.72 82.72 82.72
With the nearest neighbours (Å) after each atom.
Element x y z (fractional)
Au 0.7989 0.7989 0.2983  5 Au 2.77-2.90, 1 Hg 2.78, 1 Pd 2.81
Au 0.4150 0.8666 0.4150  6 Au 2.77-3.08, 2 Pd 3.03, 1 Nd 3.03
Au 0.1334 0.5850 0.5850  6 Au 2.77-3.08, 2 Pd 3.03, 1 Nd 3.03
Au 0.4150 0.4150 0.8666  6 Au 2.77-3.08, 2 Pd 3.03, 1 Nd 3.03
Au 0.2011 0.7017 0.2011  5 Au 2.77-2.90, 1 Hg 2.78, 1 Pd 2.81
Au 0.2983 0.7989 0.7989  5 Au 2.77-2.90, 1 Hg 2.78, 1 Pd 2.81
Au 0.2011 0.2011 0.7017  5 Au 2.77-2.90, 1 Hg 2.78, 1 Pd 2.81
Au 0.5850 0.1334 0.5850  6 Au 2.77-3.08, 2 Pd 3.03, 1 Nd 3.03
Au 0.7989 0.2983 0.7989  5 Au 2.77-2.90, 1 Hg 2.78, 1 Pd 2.81
Au 0.7017 0.2011 0.2011  5 Au 2.77-2.90, 1 Hg 2.78, 1 Pd 2.81
Au 0.5850 0.5850 0.1334  6 Au 2.77-3.08, 2 Pd 3.03, 1 Nd 3.03
Au 0.8666 0.4150 0.4150  6 Au 2.77-3.08, 2 Pd 3.03, 1 Nd 3.03
Pd 0.0000 0.5000 0.0000  6 Au 2.81-3.03, 2 Nd 3.04
Pd 0.5000 0.0000 0.0000  6 Au 2.81-3.03, 2 Nd 3.04
Pd 0.0000 0.0000 0.5000  6 Au 2.81-3.03, 2 Nd 3.04
Hg 0.0000 0.0000 0.0000  6 Au 2.78
Nd 0.2610 0.2610 0.2610  6 Au 3.03-3.12, 3 Pd 3.04
Nd 0.7390 0.7390 0.7390  6 Au 3.03-3.12, 3 Pd 3.04